Below is crystalline SrCoSe2O6 at its relaxed geometry, with properties calculated at the GGA+U level.

Summary:
N(E_F) ... 0.000 states/eV/f.u.
VASP energy ... -5.591 eV per atom
Crystal system ... trigonal

a = 5.4501 Å, b = 5.4501 Å, c = 17.0921 Å
α = 90.00°, β = 90.00°, γ = 120.00°
With the nearest neighbours (Å) after each atom.
Space group R-3 (No. 148, hexagonal axes)
Unique sites:
Sr (0.0000, 0.0000, 0.0000) x3  6 O 2.62
Co (0.0000, 0.0000, 0.5000) x3  6 O 2.17
Se (0.0000, 0.0000, 0.2739) x6  3 O 1.74
O (0.0208, 0.3846, 0.9039) x18  1 Se 1.74